1.
BaTc: optimized geometry, PBE.

Cell lengths 3.514, 3.514, 10.017 Å; angles 90.00, 90.00, 90.00 degrees
Positions (direct):
Ba1 0.250 0.250 0.205
Ba2 0.750 0.750 0.795
Tc1 0.250 0.250 0.526
Tc2 0.750 0.750 0.474

DOS(E_F), states/eV per atom: 1.079
Calculated formation energy, eV/atom: 0.5659
Density, g cm⁻³: 6.32
Total DFT energy (no corrections), eV/atom: -5.578

2.
BaTc: optimized geometry, PBE.

Cell lengths 6.526, 6.526, 8.203 Å; angles 95.59, 95.59, 34.97 degrees
Positions (direct):
Ba1 0.000 0.000 0.000
Ba2 0.048 0.048 0.578
Ba3 0.770 0.770 0.318
Tc1 0.270 0.270 0.962
Tc2 0.337 0.337 0.681
Tc3 0.737 0.737 0.792

DOS(E_F), states/eV per atom: 1.183
Calculated formation energy, eV/atom: 0.6245
Density, g cm⁻³: 5.88
Total DFT energy (no corrections), eV/atom: -5.520

3.
Ba2Tc: optimized geometry, PBE.

Cell lengths 7.720, 7.791, 4.251 Å; angles 90.00, 90.00, 90.00 degrees
Positions (direct):
Ba1 0.244 0.176 0.000
Ba2 0.256 0.676 0.500
Ba3 0.744 0.324 0.500
Ba4 0.756 0.824 0.000
Tc1 0.000 0.500 0.000
Tc2 0.500 0.000 0.500

DOS(E_F), states/eV per atom: 1.250
Calculated formation energy, eV/atom: 0.9257
Density, g cm⁻³: 4.84
Total DFT energy (no corrections), eV/atom: -3.811

4.
Ba2Tc: optimized geometry, PBE.

Cell lengths 7.677, 7.677, 10.102 Å; angles 119.36, 119.36, 30.55 degrees
Positions (direct):
Ba1 0.000 0.000 0.000
Ba2 0.030 0.030 0.628
Ba3 0.324 0.324 0.148
Ba4 0.705 0.705 0.478
Tc1 0.293 0.293 0.783
Tc2 0.737 0.737 0.843

DOS(E_F), states/eV per atom: 1.163
Calculated formation energy, eV/atom: 0.3788
Density, g cm⁻³: 4.75
Total DFT energy (no corrections), eV/atom: -4.358

5.
Ba3Tc: optimized geometry, PBE.

Cell lengths 7.332, 7.332, 7.332 Å; angles 147.67, 70.34, 119.44 degrees
Positions (direct):
Ba1 0.000 0.000 0.000
Ba2 0.360 0.527 0.832
Ba3 0.695 0.527 0.168
Tc1 0.689 0.189 0.500

DOS(E_F), states/eV per atom: 1.100
Calculated formation energy, eV/atom: 0.6515
Density, g cm⁻³: 4.68
Total DFT energy (no corrections), eV/atom: -3.382

6.
Ba3Tc: optimized geometry, PBE.

Cell lengths 8.371, 8.371, 8.371 Å; angles 153.56, 137.68, 50.60 degrees
Positions (direct):
Ba1 0.000 0.000 0.000
Ba2 0.335 0.835 0.500
Ba3 0.665 0.165 0.500
Tc1 0.500 0.500 0.000

DOS(E_F), states/eV per atom: 1.604
Calculated formation energy, eV/atom: 0.6795
Density, g cm⁻³: 4.83
Total DFT energy (no corrections), eV/atom: -3.354

7.
BaTc: optimized geometry, PBE.

Cell lengths 4.227, 4.227, 18.656 Å; angles 90.00, 90.00, 120.00 degrees
Positions (direct):
Ba1 0.333 0.667 0.117
Ba2 0.333 0.667 0.383
Ba3 0.667 0.333 0.617
Ba4 0.667 0.333 0.883
Tc1 0.000 0.000 0.250
Tc2 0.000 0.000 0.750
Tc3 0.333 0.667 0.750
Tc4 0.667 0.333 0.250

DOS(E_F), states/eV per atom: 1.022
Calculated formation energy, eV/atom: 0.3288
Density, g cm⁻³: 5.41
Total DFT energy (no corrections), eV/atom: -5.816

8.
Ba2Tc: optimized geometry, PBE.

Cell lengths 8.763, 4.605, 10.789 Å; angles 90.00, 90.00, 90.00 degrees
Positions (direct):
Ba1 0.005 0.250 0.179
Ba2 0.162 0.250 0.553
Ba3 0.338 0.750 0.053
Ba4 0.495 0.750 0.679
Ba5 0.505 0.250 0.321
Ba6 0.662 0.250 0.947
Ba7 0.838 0.750 0.447
Ba8 0.995 0.750 0.821
Tc1 0.216 0.750 0.341
Tc2 0.284 0.250 0.841
Tc3 0.716 0.750 0.159
Tc4 0.784 0.250 0.659

DOS(E_F), states/eV per atom: 1.458
Calculated formation energy, eV/atom: 0.8791
Density, g cm⁻³: 5.68
Total DFT energy (no corrections), eV/atom: -3.858